Here is a relaxed ErSc3Ag2 crystal from Alexandria via LeMat-Bulk. Energies are from PBE.

Output
The calculated volume is 309.84 Å³ per cell. The value obtained for the excess energy over the best structure of this formula in the dataset is 291.7 meV/atom. The value obtained for the density of states at the Fermi level is 17.997 states/eV per cell. The calculated formation energy is 0.104 eV/atom. As for the theoretical density: 5.55 g/cm3. Its symmetry is No. 72.

Cell lengths 6.431, 7.188, 8.257 Å; angles 115.80, 112.92, 90.00 degrees
Positions (direct):
Er 0.000 0.500 0.000
Er 0.000 0.000 0.000
Sc 0.500 0.250 0.000
Sc 0.500 0.750 0.000
Sc 0.776 0.026 0.551
Sc 0.224 0.474 0.449
Sc 0.224 0.974 0.449
Sc 0.776 0.526 0.551
Ag 0.539 0.354 0.709
Ag 0.831 0.146 0.291
Ag 0.169 0.854 0.709
Ag 0.461 0.646 0.291